MnCrF5: optimized geometry, PBE+U.

a b c (Å): 5.425 5.425 7.518
angles (deg): 110.28 110.28 72.33
Element x y z (fractional)
Mn 0.034 0.966 0.750
Mn 0.966 0.034 0.250
Cr 0.500 0.500 0.000
Cr 0.500 0.500 0.500
F 0.183 0.782 0.034
F 0.218 0.817 0.466
F 0.227 0.290 0.372
F 0.290 0.227 0.872
F 0.407 0.593 0.750
F 0.593 0.407 0.250
F 0.710 0.773 0.128
F 0.773 0.710 0.628
F 0.782 0.183 0.534
F 0.817 0.218 0.966

Values from the calculation:
Energy   -6.182 eV/atom
Calculated density   3.5 g/cm³
Calculated volume   13.60 Å³/atom